Entry 1:
A plane-wave DFT calculation with PBE was carried out for a relaxed SmSnCl5 crystal.

Output
- Formation energy without anion corrections: -1.694 eV/atom

Cell and atoms, written as POSCAR:
```
SmSnCl5
1.0
-1.7161 -1.4928 3.5607
7.0805 -2.3458 2.4289
1.2345 11.9559 5.6074
Cl Sn Sm
10 2 2
direct
0.2500 0.0760 0.3226
0.2500 0.8571 0.0645
0.2500 0.6763 0.5143
0.2500 0.3990 0.7070
0.7500 0.6010 0.2930
0.7500 0.3237 0.4857
0.7500 0.6533 0.8600
0.2500 0.3467 0.1400
0.7500 0.1429 0.9355
0.7500 0.9240 0.6774
0.2500 0.9118 0.8635
0.7500 0.0882 0.1365
0.7500 0.5878 0.6469
0.2500 0.4122 0.3531
```

Entry 2:
A plane-wave DFT calculation with PBE was carried out for a relaxed SrSmTlCl6 crystal.

Output
- Formation energy without anion corrections: -2.078 eV/atom

Cell and atoms, written as POSCAR:
```
SrSmTlCl6
1.0
7.4482 0.0000 0.0000
-3.7241 6.4503 0.0000
0.0000 0.0000 13.4765
Cl Sm Tl Sr
12 2 2 2
direct
0.6229 0.6424 0.6365
0.6424 0.6229 0.1365
0.3576 0.3771 0.8635
0.3771 0.0195 0.1365
0.6424 0.0195 0.3635
0.9805 0.3576 0.1365
0.9805 0.6229 0.3635
0.0195 0.6424 0.8635
0.3576 0.9805 0.6365
0.0195 0.3771 0.6365
0.3771 0.3576 0.3635
0.6229 0.9805 0.8635
0.6667 0.3333 0.2500
0.3333 0.6667 0.7500
0.0000 0.0000 0.5000
0.0000 0.0000 0.0000
0.3333 0.6667 0.2500
0.6667 0.3333 0.7500
```

Entry 3:
A plane-wave DFT calculation with PBE was carried out for a relaxed Sm2TaCl crystal.

Output
- Formation energy without anion corrections: -0.029 eV/atom

Cell and atoms, written as POSCAR:
```
Sm2TaCl
1.0
-0.8235 -2.2849 -2.1609
-1.1665 -2.8575 1.0207
-10.6175 2.2189 -0.7451
Cl Sm Ta
1 2 1
direct
0.5000 0.5000 0.5000
0.9056 0.9056 0.2831
0.0944 0.0944 0.7169
0.0000 0.0000 0.0000
```

Entry 4:
A plane-wave DFT calculation with PBE was carried out for a relaxed TbSmCl6 crystal.

Output
- Excess energy over the best structure of this formula in the dataset: 0 meV per atom
- Formation energy without anion corrections: -2.249 eV/atom

Cell and atoms, written as POSCAR:
```
TbSmCl6
1.0
-2.1033 -4.0557 5.0563
-3.6559 -5.5776 -1.4038
3.3133 -6.5199 0.7395
Cl Tb Sm
6 1 1
direct
0.1011 0.3933 0.7525
0.7529 0.1012 0.7526
0.3932 0.7533 0.7524
0.2471 0.8988 0.2474
0.6068 0.2467 0.2476
0.8989 0.6067 0.2475
0.0000 0.0000 0.0000
0.5000 0.5000 0.5000
```

Entry 5:
A plane-wave DFT calculation with PBE was carried out for a relaxed TbSmCl2 crystal.

Output
- Formation energy without anion corrections: -1.312 eV/atom

Cell and atoms, written as POSCAR:
```
TbSmCl2
1.0
3.6146 0.0000 0.0000
1.8073 3.1303 0.0000
1.8073 1.0434 9.5298
Cl Sm Tb
2 1 1
direct
0.0955 0.0955 0.7135
0.9045 0.9045 0.2865
0.5000 0.5000 0.5000
0.0000 0.0000 0.0000
```

Entry 6:
A plane-wave DFT calculation with PBE was carried out for a relaxed Tb2SmCl8 crystal.

Output
- Formation energy without anion corrections: -2.117 eV/atom

Cell and atoms, written as POSCAR:
```
Tb2SmCl8
1.0
-2.6343 3.9596 -4.8734
4.8643 -3.8218 -3.4548
-3.4376 -6.1373 -0.8486
Tb Cl Sm
2 8 1
direct
0.4719 0.6852 0.6852
0.5281 0.3148 0.3148
0.2902 0.3457 0.9455
0.2902 0.9455 0.3457
0.7585 0.5621 0.5621
0.7098 0.0545 0.6543
0.7789 0.1675 0.1675
0.2211 0.8325 0.8325
0.2415 0.4379 0.4379
0.7098 0.6543 0.0545
0.0000 0.0000 0.0000
```

Entry 7:
A plane-wave DFT calculation with PBE was carried out for a relaxed TbSm3Cl crystal.

Output
- Formation energy without anion corrections: -0.483 eV/atom

Cell and atoms, written as POSCAR:
```
TbSm3Cl
1.0
5.3980 0.0000 0.0000
0.0000 5.3980 0.0000
0.0000 0.0000 5.3980
Cl Sm Tb
1 3 1
direct
0.0000 0.0000 0.0000
0.0000 0.0000 0.5000
0.0000 0.5000 0.0000
0.5000 0.0000 0.0000
0.5000 0.5000 0.5000
```

Entry 8:
A plane-wave DFT calculation with PBE was carried out for a relaxed TbSmCl crystal.

Output
- Formation energy without anion corrections: -0.903 eV/atom

Cell and atoms, written as POSCAR:
```
TbSmCl
1.0
-0.6208 1.1622 3.4777
-2.8445 -1.0973 -2.1295
0.7953 -6.6513 2.3648
Tb Sm Cl
1 1 1
direct
0.0000 0.0000 0.0279
0.3333 0.6667 0.6440
0.6667 0.3333 0.3281
```